[1]
The following is a PBE calculation of HgPtI2O after structural relaxation, from Alexandria.

## Properties
Offset from the most stable computed form ... 0.829 eV per atom

Cell: 5.8629 5.8629 3.9783 Å, 90.00 90.00 90.00°
With the nearest neighbours (Å) after each atom.
Space group P4/mmm (No. 123)
One atom of each set of equivalent atoms:
Hg (0.0000, 0.0000, 0.0000) x1  2 O 1.99
Pt (0.5000, 0.5000, 0.5000) x1  8 I 3.54
I (0.0000, 0.5000, 0.0000) x2  2 Hg 2.93
O (0.0000, 0.0000, 0.5000) x1  2 Hg 1.99

=====

[2]
The following is a PBE calculation of SrNd4Sn15 after structural relaxation, from Alexandria.

## Properties
Energy of formation ... -45.8 kJ per mole of atoms

Cell: 4.7578 4.7578 24.3239 Å, 90.00 90.00 90.00°
With the nearest neighbours (Å) after each atom.
Space group P4/mmm (No. 123)
One atom of each set of equivalent atoms:
Sr (0.0000, 0.0000, 0.0000) x1  12 Sn 3.36-3.44
Nd (0.0000, 0.0000, 0.2026) x2  12 Sn 3.36-3.41
Nd (0.0000, 0.0000, 0.4008) x2  12 Sn 3.36-3.39
Sn (0.0000, 0.5000, 0.1022) x4  8 Sn 3.36-3.44, 2 Nd 3.41, 2 Sr 3.44
Sn (0.0000, 0.5000, 0.3013) x4  8 Sn 3.36-3.41, 4 Nd 3.38-3.39
Sn (0.0000, 0.5000, 0.5000) x2  8 Sn 3.36-3.39, 4 Nd 3.39
Sn (0.5000, 0.5000, 0.0000) x1  4 Sr 3.36, 8 Sn 3.44
Sn (0.5000, 0.5000, 0.2010) x2  4 Nd 3.36, 8 Sn 3.38-3.41
Sn (0.5000, 0.5000, 0.4008) x2  4 Nd 3.36, 8 Sn 3.39

=====

[3]
The following is a PBE calculation of CePuCl2F6 after structural relaxation, from Alexandria.

## Properties
Raw total energy ... -6.46 eV per atom

Cell: 10.9847 6.3387 6.3475 Å, 90.00 125.25 90.00°
With the nearest neighbours (Å) after each atom.
Space group C2/m (No. 12)
One atom of each set of equivalent atoms:
Ce (0.0000, 0.0000, 0.0000) x2  6 F 2.27
Pu (0.0000, 0.5000, 0.5000) x2  6 F 2.22
Cl (0.2500, 0.0000, 0.7501) x4  12 F 3.17
F (0.0000, 0.2527, 0.2527) x8  1 Pu 2.22, 1 Ce 2.27
F (0.2473, 0.5000, 0.7473) x4  1 Pu 2.22, 1 Ce 2.27

=====

| no. | mass density (Mg/m³) | total magnetization (μB per atom) | N(E_F) (states/eV per atom) |
| --- | --- | --- | --- |
| 1 | 8.081 | 0.131 | 1.816 |
| 2 | 7.374 | 0.000 | 0.540 |
| 3 | 5.235 | 0.533 | 2.227 |